# 1
Sn4GeS6: optimized geometry, PBE.

Geometry as CIF:
```
data_Sn4GeS6
_chemical_formula_sum 'Sn16 Ge4 S24'
_cell_length_a 16.2430
_cell_length_b 7.1150
_cell_length_c 13.6510
_cell_angle_alpha 90.00
_cell_angle_beta 125.22
_cell_angle_gamma 90.00
_space_group_name_H-M_alt 'C 1 c 1'
_space_group_IT_number 9
_space_group_name_Hall 'C -2yc'
loop_
_atom_site_label
_atom_site_type_symbol
_atom_site_fract_x
_atom_site_fract_y
_atom_site_fract_z
Sn1 Sn 0.0000 0.0445 0.0000
Sn2 Sn 0.0458 0.4077 0.3187
Sn3 Sn 0.1873 0.1718 0.8090
Sn4 Sn 0.3247 0.2979 0.1928
Ge1 Ge 0.2758 0.2170 0.5984
S1 S 0.0323 0.2199 0.8482
S2 S 0.1135 0.2625 0.5350
S3 S 0.1435 0.1533 0.2122
S4 S 0.3032 0.4679 0.5247
S5 S 0.3156 0.0438 0.0396
S6 S 0.3718 0.1910 0.7968
```

Output
Formation energy without anion corrections ... -350 meV/atom
Total magnetization ... 0.00 μB/cell

# 2
CaIr2Br: optimized geometry, PBE.

Geometry as CIF:
```
data_CaIr2Br
_chemical_formula_sum 'Ca2 Ir4 Br2'
_cell_length_a 3.0500
_cell_length_b 5.1981
_cell_length_c 9.3315
_cell_angle_alpha 90.00
_cell_angle_beta 90.00
_cell_angle_gamma 90.00
_space_group_name_H-M_alt 'C m m m'
_space_group_IT_number 65
_space_group_name_Hall '-C 2 2'
loop_
_atom_site_label
_atom_site_type_symbol
_atom_site_fract_x
_atom_site_fract_y
_atom_site_fract_z
Ca1 Ca 0.0000 0.0000 0.0000
Ir1 Ir 0.0000 0.5000 0.2556
Br1 Br 0.0000 0.0000 0.5000
```

Output
Relative energy among the computed polymorphs ... 961 meV/atom
Formation energy without anion corrections ... 706 meV/atom
Total magnetization ... 0.00 μB/cell

# 3
AlZnGa14: optimized geometry, PBE.

Geometry as CIF:
```
data_AlZnGa14
_chemical_formula_sum 'Al1 Zn1 Ga14'
_cell_length_a 5.6298
_cell_length_b 5.6298
_cell_length_c 9.3026
_cell_angle_alpha 90.00
_cell_angle_beta 90.00
_cell_angle_gamma 90.00
_space_group_name_H-M_alt 'P 4/m m m'
_space_group_IT_number 123
_space_group_name_Hall '-P 4 2'
loop_
_atom_site_label
_atom_site_type_symbol
_atom_site_fract_x
_atom_site_fract_y
_atom_site_fract_z
Al1 Al 0.0000 0.0000 0.0000
Zn1 Zn 0.5000 0.5000 0.0000
Ga1 Ga 0.0000 0.0000 0.5000
Ga2 Ga 0.0000 0.5000 0.0000
Ga3 Ga 0.0000 0.5000 0.5000
Ga4 Ga 0.2494 0.2494 0.2441
Ga5 Ga 0.5000 0.5000 0.5000
```

Output
Total magnetization ... 0.00 μB/cell
Formation energy from the elements ... 3 kJ/mol of atoms

# 4
Rb2Hg2I7: optimized geometry, PBE.

Geometry as CIF:
```
data_Rb2Hg2I7
_chemical_formula_sum 'Rb4 Hg4 I14'
_cell_length_a 12.4673
_cell_length_b 12.8882
_cell_length_c 7.1823
_cell_angle_alpha 90.00
_cell_angle_beta 96.46
_cell_angle_gamma 90.00
_space_group_name_H-M_alt 'C 1 2/m 1'
_space_group_IT_number 12
_space_group_name_Hall '-C 2y'
loop_
_atom_site_label
_atom_site_type_symbol
_atom_site_fract_x
_atom_site_fract_y
_atom_site_fract_z
Rb1 Rb 0.0000 0.2459 0.0000
Hg1 Hg 0.2392 0.5000 0.4614
I1 I 0.0000 0.5000 0.5000
I2 I 0.1629 0.0000 0.1682
I3 I 0.2366 0.1861 0.7355
```

Output
Formation energy without anion corrections ... -626 meV/atom
Total magnetization ... 0.00 μB/cell

- total magnetization of number 2 (CaIr2Br)?
  0.00 μB/cell

Repeat the third record exactly.
AlZnGa14: optimized geometry, PBE.

Geometry as CIF:
```
data_AlZnGa14
_chemical_formula_sum 'Al1 Zn1 Ga14'
_cell_length_a 5.6298
_cell_length_b 5.6298
_cell_length_c 9.3026
_cell_angle_alpha 90.00
_cell_angle_beta 90.00
_cell_angle_gamma 90.00
_space_group_name_H-M_alt 'P 4/m m m'
_space_group_IT_number 123
_space_group_name_Hall '-P 4 2'
loop_
_atom_site_label
_atom_site_type_symbol
_atom_site_fract_x
_atom_site_fract_y
_atom_site_fract_z
Al1 Al 0.0000 0.0000 0.0000
Zn1 Zn 0.5000 0.5000 0.0000
Ga1 Ga 0.0000 0.0000 0.5000
Ga2 Ga 0.0000 0.5000 0.0000
Ga3 Ga 0.0000 0.5000 0.5000
Ga4 Ga 0.2494 0.2494 0.2441
Ga5 Ga 0.5000 0.5000 0.5000
```

Output
Total magnetization ... 0.00 μB/cell
Formation energy from the elements ... 3 kJ/mol of atoms

- Which formula does entry 1 have?
  Sn4GeS6